[1]
# LaPu3Ge2 PBE optimized geometry
data_LaPu3Ge2
_symmetry_space_group_name_H-M 'P 1'
_symmetry_Int_Tables_number 1
_symmetry_space_group_name_Hall 'P 1'
_cell_length_a 4.409
_cell_length_b 8.590
_cell_length_c 7.448
_cell_angle_alpha 90.00
_cell_angle_beta 90.00
_cell_angle_gamma 90.00
loop_
_atom_site_label
_atom_site_type_symbol
_atom_site_fract_x
_atom_site_fract_y
_atom_site_fract_z
La1 La 0.000 0.070 0.000
La2 La 0.000 0.930 0.500
Pu1 Pu 0.000 0.268 0.519
Pu2 Pu 0.000 0.732 0.019
Pu3 Pu 0.500 0.260 0.344
Pu4 Pu 0.500 0.439 0.848
Pu5 Pu 0.500 0.561 0.348
Pu6 Pu 0.500 0.740 0.844
Ge1 Ge 0.000 0.407 0.134
Ge2 Ge 0.000 0.593 0.634
Ge3 Ge 0.500 0.104 0.714
Ge4 Ge 0.500 0.896 0.214
# * energy of formation from the pure elements: -0.41 eV/atom
# * ρ: 12.0 g/cm³
# * space-group type: Pmc2_1 (26)
# * electronic total energy: -9.933 eV per atom
# * total moment: 9.9 μB/cell

---

[2]
# LaPu4Ge4 PBE optimized geometry
data_LaPu4Ge4
_symmetry_space_group_name_H-M 'P 1'
_symmetry_Int_Tables_number 1
_symmetry_space_group_name_Hall 'P 1'
_cell_length_a 8.830
_cell_length_b 8.830
_cell_length_c 5.708
_cell_angle_alpha 90.00
_cell_angle_beta 90.00
_cell_angle_gamma 90.00
loop_
_atom_site_label
_atom_site_type_symbol
_atom_site_fract_x
_atom_site_fract_y
_atom_site_fract_z
La1 La 0.250 0.250 0.250
La2 La 0.750 0.750 0.750
Pu1 Pu 0.095 0.838 0.607
Pu2 Pu 0.162 0.595 0.107
Pu3 Pu 0.338 0.905 0.107
Pu4 Pu 0.405 0.662 0.607
Pu5 Pu 0.595 0.338 0.393
Pu6 Pu 0.662 0.095 0.893
Pu7 Pu 0.838 0.405 0.893
Pu8 Pu 0.905 0.162 0.393
Ge1 Ge 0.023 0.122 0.879
Ge2 Ge 0.122 0.477 0.621
Ge3 Ge 0.378 0.023 0.621
Ge4 Ge 0.477 0.378 0.879
Ge5 Ge 0.523 0.622 0.121
Ge6 Ge 0.622 0.977 0.379
Ge7 Ge 0.878 0.523 0.379
Ge8 Ge 0.977 0.878 0.121
# * energy of formation from the pure elements: -0.26 eV/atom
# * ρ: 10.5 g/cm³
# * space-group type: P4_2/n (86)
# * electronic total energy: -9.230 eV per atom
# * total moment: 46.4 μB/cell

---

[3]
# La3Pu2Ge3 PBE optimized geometry
data_La3Pu2Ge3
_symmetry_space_group_name_H-M 'P 1'
_symmetry_Int_Tables_number 1
_symmetry_space_group_name_Hall 'P 1'
_cell_length_a 9.156
_cell_length_b 9.156
_cell_length_c 6.240
_cell_angle_alpha 90.00
_cell_angle_beta 90.00
_cell_angle_gamma 120.00
loop_
_atom_site_label
_atom_site_type_symbol
_atom_site_fract_x
_atom_site_fract_y
_atom_site_fract_z
La1 La 0.000 0.289 0.250
La2 La 0.000 0.711 0.750
La3 La 0.289 0.000 0.250
La4 La 0.289 0.289 0.750
La5 La 0.711 0.000 0.750
La6 La 0.711 0.711 0.250
Pu1 Pu 0.333 0.667 0.000
Pu2 Pu 0.333 0.667 0.500
Pu3 Pu 0.667 0.333 0.000
Pu4 Pu 0.667 0.333 0.500
Ge1 Ge 0.000 0.370 0.750
Ge2 Ge 0.000 0.630 0.250
Ge3 Ge 0.370 0.000 0.750
Ge4 Ge 0.370 0.370 0.250
Ge5 Ge 0.630 0.000 0.250
Ge6 Ge 0.630 0.630 0.750
# * energy of formation from the pure elements: -0.60 eV/atom
# * ρ: 8.2 g/cm³
# * space-group type: P6_3/mcm (193)
# * electronic total energy: -7.761 eV per atom
# * total moment: 25.9 μB/cell

---

[4]
# LaPuGe2 PBE optimized geometry
data_LaPuGe2
_symmetry_space_group_name_H-M 'P 1'
_symmetry_Int_Tables_number 1
_symmetry_space_group_name_Hall 'P 1'
_cell_length_a 4.042
_cell_length_b 6.049
_cell_length_c 6.049
_cell_angle_alpha 43.43
_cell_angle_beta 90.00
_cell_angle_gamma 90.00
loop_
_atom_site_label
_atom_site_type_symbol
_atom_site_fract_x
_atom_site_fract_y
_atom_site_fract_z
La1 La 0.000 0.000 0.000
Pu1 Pu 0.500 0.285 0.285
Ge1 Ge 0.000 0.721 0.721
Ge2 Ge 0.500 0.571 0.571
# * energy of formation from the pure elements: -0.61 eV/atom
# * ρ: 8.6 g/cm³
# * space-group type: Amm2 (38)
# * electronic total energy: -7.733 eV per atom
# * total moment: 6.5 μB/cell

---

[5]
# LaPu2Ge2 PBE optimized geometry
data_LaPu2Ge2
_symmetry_space_group_name_H-M 'P 1'
_symmetry_Int_Tables_number 1
_symmetry_space_group_name_Hall 'P 1'
_cell_length_a 7.195
_cell_length_b 7.195
_cell_length_c 4.493
_cell_angle_alpha 103.51
_cell_angle_beta 103.51
_cell_angle_gamma 30.24
loop_
_atom_site_label
_atom_site_type_symbol
_atom_site_fract_x
_atom_site_fract_y
_atom_site_fract_z
La1 La 0.000 0.000 0.000
Pu1 Pu 0.259 0.259 0.841
Pu2 Pu 0.741 0.741 0.159
Ge1 Ge 0.401 0.401 0.433
Ge2 Ge 0.599 0.599 0.567
# * energy of formation from the pure elements: -0.32 eV/atom
# * ρ: 11.3 g/cm³
# * space-group type: C2/m (12)
# * electronic total energy: -8.890 eV per atom
# * total moment: 4.6 μB/cell

---

[6]
# La3PuGe6 PBE optimized geometry
data_La3PuGe6
_symmetry_space_group_name_H-M 'P 1'
_symmetry_Int_Tables_number 1
_symmetry_space_group_name_Hall 'P 1'
_cell_length_a 8.017
_cell_length_b 8.017
_cell_length_c 8.017
_cell_angle_alpha 97.98
_cell_angle_beta 97.98
_cell_angle_gamma 97.98
loop_
_atom_site_label
_atom_site_type_symbol
_atom_site_fract_x
_atom_site_fract_y
_atom_site_fract_z
La1 La 0.186 0.750 0.314
La2 La 0.250 0.686 0.814
La3 La 0.314 0.186 0.750
La4 La 0.686 0.814 0.250
La5 La 0.750 0.314 0.186
La6 La 0.814 0.250 0.686
Pu1 Pu 0.000 0.000 0.000
Pu2 Pu 0.500 0.500 0.500
Ge1 Ge 0.010 0.090 0.379
Ge2 Ge 0.090 0.379 0.010
Ge3 Ge 0.121 0.410 0.490
Ge4 Ge 0.379 0.010 0.090
Ge5 Ge 0.410 0.490 0.121
Ge6 Ge 0.490 0.121 0.410
Ge7 Ge 0.510 0.879 0.590
Ge8 Ge 0.590 0.510 0.879
Ge9 Ge 0.621 0.990 0.910
Ge10 Ge 0.879 0.590 0.510
Ge11 Ge 0.910 0.621 0.990
Ge12 Ge 0.990 0.910 0.621
# * energy of formation from the pure elements: -0.63 eV/atom
# * ρ: 7.3 g/cm³
# * space-group type: R-3c (167)
# * electronic total energy: -6.309 eV per atom
# * total moment: 12.4 μB/cell